--- A ---
5
Lattice="4.818 0.000 0.000 0.000 4.818 0.000 0.000 0.000 4.818" Properties=species:S:1:pos:R:3 comment="LaFe3I (GGA-PBE, optimized geometry)" total_magnetization_mub_per_cell=5.8 sg=Pm-3m crystal_system=cubic pbc="T T T"
La 0.000 0.000 0.000
Fe 0.000 0.000 2.409
Fe 0.000 2.409 0.000
Fe 2.409 0.000 0.000
I 2.409 2.409 2.409



--- B ---
5
Lattice="4.729 0.000 0.000 0.000 4.729 0.000 0.000 0.000 4.729" Properties=species:S:1:pos:R:3 comment="LaFe3I (GGA-PBE, optimized geometry)" total_magnetization_mub_per_cell=4.6 sg=Pm-3m crystal_system=cubic pbc="T T T"
La 0.000 0.000 0.000
Fe 0.000 2.364 2.364
Fe 2.364 0.000 2.364
Fe 2.364 2.364 0.000
I 2.364 2.364 2.364



What is the least stable structure shown above? It is A.